[1]
The following is a PBE-GGA calculation of a relaxed Mn2Pd2Au3 crystal, from Alexandria.

Cell lengths 4.4279, 4.4279, 7.3262 Å; angles 111.80, 111.80, 64.03 degrees
Last column: nearest neighbours and their distance in Å.
Fractional coordinates of all 7 atoms:
Mn 0.0767 0.0767 0.2364  4 Pd 2.67-2.75, 4 Au 2.80-2.91
Mn 0.9233 0.9233 0.7636  4 Pd 2.67-2.75, 4 Au 2.80-2.91
Pd 0.2167 0.2167 0.6510  4 Mn 2.67-2.75, 5 Au 2.79-2.93
Pd 0.7833 0.7833 0.3490  4 Mn 2.67-2.75, 5 Au 2.79-2.93
Au 0.3568 0.3568 0.0803  4 Au 2.78-2.87, 4 Mn 2.80-3.06, 2 Pd 2.85-2.93
Au 0.5000 0.5000 0.5000  2 Au 2.78, 6 Pd 2.79, 2 Mn 2.91
Au 0.6432 0.6432 0.9197  4 Au 2.78-2.87, 4 Mn 2.80-3.06, 2 Pd 2.85-2.93

[2]
The following is a PBE-GGA calculation of a relaxed Mn2Pd2Au7 crystal, from Alexandria.

Cell lengths 8.5699, 8.5699, 8.5699 Å; angles 160.02, 71.46, 112.22 degrees
Last column: nearest neighbours and their distance in Å.
Fractional coordinates of all 11 atoms:
Mn 0.1684 0.0000 0.1684  1 Pd 2.67, 7 Au 2.73-2.79, 2 Mn 2.97
Mn 0.8316 0.0000 0.8316  1 Pd 2.67, 7 Au 2.73-2.79, 2 Mn 2.97
Pd 0.4190 0.9190 0.5000  8 Au 2.83-2.90, 2 Pd 2.97
Pd 0.8656 0.8656 0.0000  2 Mn 2.67, 5 Au 2.78-2.80, 2 Pd 2.97
Au 0.0724 0.7420 0.3304  2 Mn 2.75, 8 Au 2.90-2.97, 1 Pd 2.90
Au 0.1581 0.1581 0.0000  2 Mn 2.79, 3 Pd 2.80-2.90, 6 Au 2.90-2.97
Au 0.3435 0.5057 0.8377  2 Mn 2.79, 2 Pd 2.83, 6 Au 2.86-2.97
Au 0.4116 0.7420 0.6696  2 Mn 2.75, 8 Au 2.90-2.97, 1 Pd 2.90
Au 0.6088 0.2611 0.3476  2 Mn 2.73, 2 Pd 2.78, 6 Au 2.86-2.97
Au 0.6680 0.5057 0.1623  2 Mn 2.79, 2 Pd 2.83, 6 Au 2.86-2.97
Au 0.9135 0.2611 0.6524  2 Mn 2.73, 2 Pd 2.78, 6 Au 2.86-2.97

[3]
The following is a PBE-GGA calculation of a relaxed MnPdAu3 crystal, from Alexandria.

Cell lengths 4.7347, 4.7347, 4.7347 Å; angles 90.00, 90.00, 90.00 degrees
Last column: nearest neighbours and their distance in Å.
Fractional coordinates of all 5 atoms:
Mn 0.0000 0.0000 0.0000  6 Au 2.37
Pd 0.5000 0.5000 0.5000  12 Au 3.35
Au 0.0000 0.0000 0.5000  2 Mn 2.37
Au 0.0000 0.5000 0.0000  2 Mn 2.37
Au 0.5000 0.0000 0.0000  2 Mn 2.37

Asked for ΔE to the lowest computed polymorph across the records above, the calculation gives 0.0; 72.9; 549.9 kJ/mol of formula units in order.
Asked for energy of formation across the records above, the calculation gives -0.12; 0.03; 1.15 eV/atom in order.